Compound: CoReNi2O
Source: the Alexandria database
Functional: GGA+U
Structure: relaxed

```
CoReNi2O
1.0
4.451 0.000 0.000
0.000 4.451 0.000
0.000 0.000 4.571
Co Re Ni O
1 1 2 1
direct
0.000 0.000 0.000
0.000 0.000 0.500
0.000 0.500 0.500
0.500 0.000 0.500
0.500 0.500 0.000
```

Computed properties:
Space group: P4/mmm, No. 123
Total magnetization, μB per cell: 2.934
Electronic total energy, eV per atom: -3.101